TlSn3Bi: optimized geometry, GGA-PBE.

VASP energy = -3.59 eV per atom
space-group type = Pnma
magnetization = 0.00 μB/atom

Cell: 3.331 11.356 15.653 Å, 90.00 90.00 90.00°
Atoms (fractional coordinates):
Sn (0.750, 0.120, 0.242)
Sn (0.750, 0.871, 0.573)
Sn (0.250, 0.129, 0.427)
Sn (0.250, 0.629, 0.073)
Sn (0.750, 0.617, 0.666)
Sn (0.750, 0.620, 0.258)
Sn (0.250, 0.380, 0.742)
Sn (0.750, 0.117, 0.834)
Sn (0.250, 0.880, 0.758)
Sn (0.750, 0.371, 0.927)
Sn (0.250, 0.383, 0.334)
Sn (0.250, 0.883, 0.166)
Bi (0.750, 0.377, 0.142)
Bi (0.750, 0.877, 0.358)
Bi (0.250, 0.623, 0.858)
Bi (0.250, 0.123, 0.642)
Tl (0.750, 0.866, 0.962)
Tl (0.250, 0.634, 0.462)
Tl (0.750, 0.366, 0.538)
Tl (0.250, 0.134, 0.038)

Pr3Y3Si4: optimized geometry, GGA-PBE.

VASP energy = -6.17 eV per atom
space-group type = Amm2
formation energy from raw total energies = -0.63 eV/atom
magnetization = 0.00 μB/atom

Cell: 4.213 7.730 7.730 Å, 92.70 90.00 90.00°
Atoms (fractional coordinates):
Y (0.500, 0.683, 0.670)
Y (0.500, 0.819, 0.181)
Y (0.500, 0.330, 0.317)
Si (0.000, 0.875, 0.898)
Si (0.000, 0.622, 0.378)
Si (0.000, 0.403, 0.597)
Si (0.000, 0.102, 0.125)
Pr (0.500, 0.168, 0.832)
Pr (0.000, 0.486, 0.987)
Pr (0.000, 0.013, 0.514)

Look up the magnetization of the second one. 0.00 μB/atom